# 1
Below is crystalline TmIn2P2Pt7 at its relaxed geometry, with properties calculated at the PBE level.

The structure in POSCAR format:
```
TmIn2P2Pt7
1.0
2.7838 -2.7845 0.0000
2.7838 2.7845 0.0000
-2.7416 0.0000 15.0258
Tm In P Pt
1 2 2 7
direct
0.0000 0.0000 0.0000
0.2120 0.2120 0.4265
0.7880 0.7880 0.5735
0.3847 0.3847 0.7656
0.6153 0.6153 0.2344
0.0716 0.5716 0.1457
0.3079 0.3079 0.6141
0.4284 0.9284 0.8543
0.5000 0.5000 0.0000
0.5716 0.0716 0.1457
0.6921 0.6921 0.3859
0.9284 0.4284 0.8543
```

Calculated values
Symmetry = C2/m (12)
Total magnetic moment = 0.000 μB per formula unit
Crystal system = monoclinic
DOS(E_F) = 4.123 states/eV/cell
Formation energy = -682.1 meV per atom


# 2
Below is crystalline PuInP at its relaxed geometry, with properties calculated at the PBE level.

The structure in POSCAR format:
```
PuInP
1.0
4.4171 0.0000 0.0000
-2.2085 3.8253 0.0000
0.0000 0.0000 8.2056
Pu In P
2 2 2
direct
0.0000 0.0000 0.1877
0.0000 0.0000 0.8123
0.3333 0.6667 0.4377
0.6667 0.3333 0.5623
0.3333 0.6667 0.9936
0.6667 0.3333 0.0064
```

Calculated values
Symmetry = P-3m1 (164)
Total magnetic moment = 5.305 μB per formula unit
Crystal system = trigonal
DOS(E_F) = 17.080 states/eV/cell
Formation energy = -318.6 meV per atom